Entry 1:
{"formula": "ZrPaTl2", "functional": "PBE", "state": "optimized geometry", "n_ef_per_ev_cell": 4.27, "relative_energy_ev_per_atom": 0.358, "e_form_ev_per_atom": 0.44, "lattice": [[4.109, 0.000, 0.000], [2.054, 3.558, 0.000], [2.054, 1.186, 7.635]], "species": ["Tl", "Tl", "Pa", "Zr"], "fractional_positions": [[0.256, 0.256, 0.233], [0.744, 0.744, 0.767], [0.500, 0.500, 0.500], [0.000, 0.000, 0.000]]}

***

Entry 2:
{"formula": "CaBe2Al", "functional": "PBE", "state": "optimized geometry", "n_ef_per_ev_cell": 2.63, "e_form_ev_per_atom": 0.43, "lattice": [[-0.807, 0.018, 3.529], [-3.137, -2.859, -0.703], [2.784, -3.215, 0.652]], "species": ["Be", "Be", "Ca", "Al"], "fractional_positions": [[0.000, 0.000, 0.000], [0.000, 0.500, 0.500], [0.500, 0.500, 0.000], [0.500, 0.000, 0.500]]}

***

Entry 3:
{"formula": "NaCePd", "functional": "PBE", "state": "optimized geometry", "n_ef_per_ev_cell": 13.33, "e_form_ev_per_atom": -0.27, "lattice": [[4.137, 0.064, -0.043], [0.044, 4.138, -0.043], [-1.999, -2.008, 9.109]], "species": ["Na", "Na", "Ce", "Ce", "Pd", "Pd"], "fractional_positions": [[0.764, 0.764, 0.500], [0.236, 0.236, 0.500], [0.681, 0.681, 0.861], [0.319, 0.319, 0.139], [0.155, 0.155, 0.810], [0.845, 0.845, 0.190]]}

***

Entry 4:
{"formula": "Pm3Tl2Ag7", "functional": "PBE", "state": "optimized geometry", "n_ef_per_ev_cell": 6.41, "e_form_ev_per_atom": -0.13, "lattice": [[-1.674, 3.327, 2.332], [0.113, -2.948, 4.287], [11.802, 4.174, 2.519]], "species": ["Pm", "Pm", "Pm", "Tl", "Tl", "Ag", "Ag", "Ag", "Ag", "Ag", "Ag", "Ag"], "fractional_positions": [[0.500, 0.500, 0.000], [0.000, 0.028, 0.333], [0.000, 0.972, 0.667], [0.500, 0.489, 0.293], [0.500, 0.511, 0.707], [0.500, 0.751, 0.495], [0.500, 0.249, 0.505], [0.000, 0.607, 0.160], [0.000, 0.000, 0.000], [0.000, 0.393, 0.840], [0.500, 0.999, 0.851], [0.500, 0.001, 0.149]]}

***

Entry 5:
{"formula": "BeNb2N", "functional": "PBE", "state": "optimized geometry", "n_ef_per_ev_cell": 4.58, "relative_energy_ev_per_atom": 0.837, "formation_energy_uncorrected_ev_per_atom": 0.424, "lattice": [[0.000, 2.900, 2.900], [2.900, 0.000, 2.900], [2.900, 2.900, 0.000]], "species": ["Be", "Nb", "Nb", "N"], "fractional_positions": [[0.000, 0.000, 0.000], [0.250, 0.250, 0.250], [0.750, 0.750, 0.750], [0.500, 0.500, 0.500]]}

***

Entry 6:
{"formula": "La4NiHCl2", "functional": "PBE", "state": "optimized geometry", "n_ef_per_ev_cell": 6.74, "total_energy_ev_per_atom": -5.01, "lattice": [[-2.702, -2.710, 1.037], [4.243, -2.388, 4.817], [-4.286, 5.521, 3.259]], "species": ["La", "La", "La", "La", "Ni", "H", "Cl", "Cl"], "fractional_positions": [[0.500, 0.248, 0.214], [0.500, 0.752, 0.786], [0.000, 0.269, 0.784], [0.000, 0.731, 0.216], [0.000, 0.000, 0.000], [0.500, 0.500, 0.000], [0.500, 0.000, 0.500], [0.000, 0.500, 0.500]]}

***

Entry 7:
{"formula": "ScAlI2", "functional": "PBE", "state": "optimized geometry", "n_ef_per_ev_cell": 2.62, "relative_energy_ev_per_atom": 0.175, "formation_energy_uncorrected_ev_per_atom": -0.106, "lattice": [[2.283, 1.497, 4.612], [-1.160, 4.775, 2.138], [-2.937, 0.291, 4.473]], "species": ["I", "I", "Sc", "Al"], "fractional_positions": [[0.250, 0.250, 0.250], [0.750, 0.750, 0.750], [0.500, 0.500, 0.500], [0.000, 0.000, 0.000]]}

***

Entry 8:
{"formula": "TbTm2Re", "functional": "PBE", "state": "optimized geometry", "n_ef_per_ev_cell": 4.95, "e_form_ev_per_atom": 0.75, "lattice": [[-2.633, 1.118, -1.417], [-0.395, -0.360, -3.147], [-6.137, -9.581, 0.248]], "species": ["Re", "Tm", "Tm", "Tb"], "fractional_positions": [[0.000, 0.000, 0.000], [0.079, 0.079, 0.762], [0.921, 0.921, 0.238], [0.500, 0.500, 0.500]]}

***

Entry 9:
{"formula": "Tb2Tm4Sc", "functional": "PBE", "state": "optimized geometry", "n_ef_per_ev_cell": 19.44, "relative_energy_ev_per_atom": 0.017, "e_form_ev_per_atom": 0.20, "lattice": [[-5.107, -3.324, 6.148], [4.036, -7.334, -2.300], [2.300, 7.327, 4.046]], "species": ["Tb", "Tb", "Tb", "Tb", "Tm", "Tm", "Tm", "Tm", "Tm", "Tm", "Tm", "Tm", "Sc", "Sc"], "fractional_positions": [[0.653, 0.261, 0.606], [0.597, 0.702, 0.108], [0.625, 0.359, 0.235], [0.125, 0.388, 0.764], [0.886, 0.149, 0.273], [0.379, 0.690, 0.332], [0.871, 0.703, 0.811], [0.790, 0.018, 0.731], [0.278, 0.009, 0.224], [0.365, 0.137, 0.763], [0.459, 0.690, 0.727], [0.972, 0.696, 0.231], [0.100, 0.698, 0.598], [0.150, 0.248, 0.098]]}

***

Entry 10:
{"formula": "CaDyMgIn", "functional": "PBE", "state": "optimized geometry", "n_ef_per_ev_cell": 1.81, "e_form_ev_per_atom": -0.31, "lattice": [[5.389, 0.000, 0.000], [2.695, 4.667, 0.000], [2.695, 1.556, 4.400]], "species": ["Ca", "In", "Mg", "Dy"], "fractional_positions": [[0.250, 0.250, 0.250], [0.500, 0.500, 0.500], [0.000, 0.000, 0.000], [0.750, 0.750, 0.750]]}

***

Entry 11:
{"formula": "Ca3CdBr2Cl6", "functional": "PBE", "state": "optimized geometry", "n_ef_per_ev_cell": 0.00, "formation_energy_uncorrected_ev_per_atom": -1.952, "lattice": [[-1.088, 5.868, -1.956], [-4.919, 1.191, 6.311], [7.795, 2.017, 0.510]], "species": ["Ca", "Ca", "Ca", "Cd", "Br", "Br", "Cl", "Cl", "Cl", "Cl", "Cl", "Cl"], "fractional_positions": [[0.000, 0.500, 0.000], [0.500, 0.500, 0.500], [0.500, 0.000, 0.500], [0.500, 0.000, 0.000], [0.222, 0.677, 0.355], [0.778, 0.323, 0.645], [0.737, 0.323, 0.154], [0.263, 0.677, 0.846], [0.718, 0.835, 0.669], [0.282, 0.165, 0.331], [0.263, 0.169, 0.846], [0.737, 0.831, 0.154]]}

***

Entry 12:
{"formula": "La2TiSiN", "functional": "PBE", "state": "optimized geometry", "n_ef_per_ev_cell": 3.26, "formation_energy_uncorrected_ev_per_atom": -0.797, "lattice": [[-0.935, -4.932, 1.232], [1.374, -1.451, -4.767], [3.847, -0.421, 1.237]], "species": ["N", "Si", "Ti", "La", "La"], "fractional_positions": [[0.000, 0.000, 0.000], [0.500, 0.500, 0.500], [0.000, 0.000, 0.500], [0.000, 0.500, 0.000], [0.500, 0.000, 0.000]]}